Crystalline TlRe3Hg at its relaxed geometry. Source: Alexandria, functional GGA-PBEsol.

Properties
As for the symmetry: No. 221. The value obtained for the uncorrected energy is -26.101 eV per formula unit. As for the density of states at the Fermi level: 2.092 states/eV per atom. The calculation puts the formation enthalpy at 0 K at 3418 meV/atom. As for the total magnetization: 3.010 μB per formula unit.

Cell: 4.881 4.881 4.881 Å, 90.00 90.00 90.00°
Fractional coordinates of all 5 atoms:
Tl 0.000 0.000 0.000
Re 0.000 0.000 0.500
Re 0.000 0.500 0.000
Re 0.500 0.000 0.000
Hg 0.500 0.500 0.500